5
Lattice="-3.113 -1.609 4.682 4.494 -3.240 1.874 2.078 4.595 2.960" Properties=species:S:1:pos:R:3 comment="SbAsPb3, optimized geometry, DFT GGA-PBE" e_above_lowest_polymorph_kcal_per_mol_atoms=16.10 energy_ry_per_atom=-0.23841 dos_ef_per_ev_atom=0.462 spacegroup="No. 221" magmom_total_mub_per_fu=0.00 pbc="T T T"
Pb 2.247 -1.620 0.937
Pb 1.039 2.298 1.480
Pb -1.556 -0.804 2.341
Sb 0.000 0.000 0.000
As 1.730 -0.127 4.758